Record 1
Compound: HoZnCdPt
Source: Alexandria via LeMat-Bulk
Functional: GGA-PBE
Structure: optimized geometry

It has space group F-43m (No. 216), with a = 6.7883 Å, b = 6.7883 Å, c = 6.7883 Å, α = 90.00°, β = 90.00° and γ = 90.00°. The distinct sites, in fractional coordinates, are Ho at (0.0000, 0.0000, 0.0000), Zn at (0.2500, 0.2500, 0.2500), Cd at (0.0000, 0.0000, 0.5000) and Pt at (0.2500, 0.2500, 0.7500).

As for the density of states at the Fermi level: 0.52 states/eV/atom. For the magnetic moment, the calculation gives 0.000 μB/atom. The formation energy comes out at -0.594 eV per atom.


Record 2
Compound: TiWI
Source: Alexandria via LeMat-Bulk
Functional: GGA-PBE
Structure: optimized geometry

It has space group P-1 (No. 2), with a = 3.4023 Å, b = 4.6889 Å, c = 10.2126 Å, α = 89.94°, β = 89.95° and γ = 79.11°. The distinct sites, in fractional coordinates, are Ti at (0.2498, 0.2496, 0.1747), W at (0.2499, 0.7500, 0.0186) and I at (0.2493, 0.7493, 0.3274).

Its formation energy (no corrections) is 0.266 eV per atom. As for the density of states at the Fermi level: 0.74 states/eV/atom. For the magnetic moment, the calculation gives 0.000 μB/atom.


Record 3
Compound: AcEuGaIr
Source: Alexandria via LeMat-Bulk
Functional: GGA-PBE
Structure: optimized geometry

It has space group F-43m (No. 216), with a = 7.4264 Å, b = 7.4264 Å, c = 7.4264 Å, α = 90.00°, β = 90.00° and γ = 90.00°. The distinct sites, in fractional coordinates, are Ac at (0.0000, 0.0000, 0.0000), Eu at (0.0000, 0.0000, 0.5000), Ga at (0.2500, 0.2500, 0.2500) and Ir at (0.2500, 0.2500, 0.7500).

As for the density of states at the Fermi level: 1.16 states/eV/atom. For the magnetic moment, the calculation gives 1.706 μB/atom. The formation energy comes out at -0.386 eV per atom.


The highest magnetic moment belongs to which entry? AcEuGaIr


What is the density of states at the Fermi level in the first record? 0.52 states/eV/atom


Which of these has the highest magnetic moment? AcEuGaIr